# Sr2TlCrF8 | the Alexandria database | GGA+U | optimized geometry
data_Sr2TlCrF8
_chemical_formula_sum 'Sr2 Tl1 Cr1 F8'
_space_group_name_H-M_alt 'P 1 2/m 1'
_space_group_IT_number 10
_cell_length_a 4.529
_cell_length_b 8.025
_cell_length_c 5.489
_cell_angle_alpha 90.00
_cell_angle_beta 99.30
_cell_angle_gamma 90.00
loop_
_space_group_symop_operation_xyz
'x,y,z'
'-x,-y,-z'
'-x,y,-z'
'x,-y,z'
loop_
_atom_site_label
_atom_site_type_symbol
_atom_site_fract_x
_atom_site_fract_y
_atom_site_fract_z
Sr1 Sr 0.000 0.243 0.000
Tl1 Tl 0.500 0.500 0.500
Cr1 Cr 0.500 0.000 0.500
F1 F 0.062 0.500 0.778
F2 F 0.111 0.000 0.285
F3 F 0.425 0.180 0.730
# Density of states at the Fermi level: 0.0000 states/eV per atom
# Calculated total energy: -0.2014 hartree per atom